(1)
DFT (PBE-GGA) results for a geometry-optimized MnRhCl3 structure.

CIF file:
```
data_MnRhCl3
_cell_length_a 4.845
_cell_length_b 4.845
_cell_length_c 4.845
_cell_angle_alpha 90.00
_cell_angle_beta 90.00
_cell_angle_gamma 90.00
_symmetry_space_group_name_H-M 'P m -3 m'
_symmetry_Int_Tables_number 221
_symmetry_space_group_name_Hall '-P 4 2 3'
loop_
_atom_site_label
_atom_site_type_symbol
_atom_site_fract_x
_atom_site_fract_y
_atom_site_fract_z
Mn1 Mn 0.000 0.000 0.000
Rh1 Rh 0.500 0.500 0.500
Cl1 Cl 0.000 0.000 0.500
```

- raw formation energy (eV/atom) = 0.117

(2)
DFT (PBE-GGA) results for a geometry-optimized NpCuN2 structure.

CIF file:
```
data_NpCuN2
_cell_length_a 3.5490
_cell_length_b 3.5490
_cell_length_c 16.6141
_cell_angle_alpha 90.00
_cell_angle_beta 90.00
_cell_angle_gamma 120.00
_symmetry_space_group_name_H-M 'R -3 m'
_symmetry_Int_Tables_number 166
_symmetry_space_group_name_Hall '-R 3 2"'
loop_
_atom_site_label
_atom_site_type_symbol
_atom_site_fract_x
_atom_site_fract_y
_atom_site_fract_z
Np1 Np 0.0000 0.0000 0.0000
Cu1 Cu 0.0000 0.0000 0.5000
N1 N 0.0000 0.0000 0.3893
```

- raw formation energy (eV/atom) = -0.638

(3)
DFT (PBE-GGA) results for a geometry-optimized DyAl2Pd5 structure.

CIF file:
```
data_DyAl2Pd5
_cell_length_a 3.845
_cell_length_b 7.009
_cell_length_c 10.273
_cell_angle_alpha 90.00
_cell_angle_beta 90.00
_cell_angle_gamma 90.00
_symmetry_space_group_name_H-M 'I m m m'
_symmetry_Int_Tables_number 71
_symmetry_space_group_name_Hall '-I 2 2'
loop_
_atom_site_label
_atom_site_type_symbol
_atom_site_fract_x
_atom_site_fract_y
_atom_site_fract_z
Dy1 Dy 0.000 0.000 0.000
Al1 Al 0.000 0.500 0.238
Pd1 Pd 0.000 0.205 0.359
Pd2 Pd 0.000 0.500 0.000
```

- formation energy (eV/atom) = -0.779

(4)
DFT (PBE-GGA) results for a geometry-optimized Lu2BiPt structure.

CIF file:
```
data_Lu2BiPt
_cell_length_a 3.519
_cell_length_b 3.519
_cell_length_c 7.879
_cell_angle_alpha 90.00
_cell_angle_beta 90.00
_cell_angle_gamma 90.00
_symmetry_space_group_name_H-M 'P 4/m m m'
_symmetry_Int_Tables_number 123
_symmetry_space_group_name_Hall '-P 4 2'
loop_
_atom_site_label
_atom_site_type_symbol
_atom_site_fract_x
_atom_site_fract_y
_atom_site_fract_z
Lu1 Lu 0.000 0.000 0.205
Bi1 Bi 0.500 0.500 0.500
Pt1 Pt 0.500 0.500 0.000
```

- formation energy (eV/atom) = -0.877

(5)
DFT (PBE-GGA) results for a geometry-optimized NaAl2Hg2 structure.

CIF file:
```
data_NaAl2Hg2
_cell_length_a 4.155
_cell_length_b 4.155
_cell_length_c 13.144
_cell_angle_alpha 90.00
_cell_angle_beta 90.00
_cell_angle_gamma 90.00
_symmetry_space_group_name_H-M 'I 4/m m m'
_symmetry_Int_Tables_number 139
_symmetry_space_group_name_Hall '-I 4 2'
loop_
_atom_site_label
_atom_site_type_symbol
_atom_site_fract_x
_atom_site_fract_y
_atom_site_fract_z
Na1 Na 0.000 0.000 0.000
Al1 Al 0.000 0.500 0.250
Hg1 Hg 0.000 0.000 0.392
```

- formation energy (eV/atom) = -0.018

(6)
DFT (PBE-GGA) results for a geometry-optimized Ca2TmMg structure.

CIF file:
```
data_Ca2TmMg
_cell_length_a 5.019
_cell_length_b 5.019
_cell_length_c 5.259
_cell_angle_alpha 90.00
_cell_angle_beta 90.00
_cell_angle_gamma 90.00
_symmetry_space_group_name_H-M 'P 4/m m m'
_symmetry_Int_Tables_number 123
_symmetry_space_group_name_Hall '-P 4 2'
loop_
_atom_site_label
_atom_site_type_symbol
_atom_site_fract_x
_atom_site_fract_y
_atom_site_fract_z
Ca1 Ca 0.000 0.500 0.000
Tm1 Tm 0.000 0.000 0.500
Mg1 Mg 0.500 0.500 0.500
```

- formation energy (eV/atom) = 0.088

Computed final energy (eV for the cell shown) in order:
-21.48, -108.72, -88.56, -22.47, -19.00, -9.72
Computed DOS at the Fermi energy (states/eV/cell) in order:
21.77, 16.08, 6.17, 2.23, 4.33, 4.78